# 1
MgGaN2F | GGA-PBE | relaxed

Structure (POSCAR):
```
MgGaN2F
1.0
4.2112 0.0000 0.0000
0.0000 4.2112 0.0000
0.0000 0.0000 3.7042
Mg Ga N F
1 1 2 1
direct
0.0000 0.0000 0.0000
0.5000 0.5000 0.5000
0.0000 0.5000 0.0000
0.5000 0.0000 0.0000
0.0000 0.0000 0.5000
```

Results
Spin magnetization: 2.74 μB/cell
Electronic total energy: -21.566 eV/cell
Space-group type: P4/mmm, No. 123
E above lowest polymorph: 428 meV per atom



# 2
MgGaNF2 | GGA-PBE | relaxed

Structure (POSCAR):
```
MgGaNF2
1.0
3.6626 0.0000 0.0000
0.0000 3.6626 0.0000
0.0000 0.0000 4.7453
Mg Ga N F
1 1 1 2
direct
0.0000 0.0000 0.0000
0.5000 0.5000 0.5000
0.0000 0.0000 0.5000
0.0000 0.5000 0.0000
0.5000 0.0000 0.0000
```

Results
Spin magnetization: 0.35 μB/cell
Electronic total energy: -22.937 eV/cell
Space-group type: P4/mmm, No. 123
E above lowest polymorph: 24 meV per atom



# 3
MgGaNF2 | GGA-PBE | relaxed

Structure (POSCAR):
```
MgGaNF2
1.0
3.9380 0.0000 0.0000
0.0000 3.9380 0.0000
0.0000 0.0000 3.8630
Mg Ga N F
1 1 1 2
direct
0.0000 0.0000 0.0000
0.5000 0.5000 0.5000
0.5000 0.5000 0.0000
0.0000 0.5000 0.5000
0.5000 0.0000 0.5000
```

Results
Spin magnetization: 0.00 μB/cell
Electronic total energy: -23.060 eV/cell
Space-group type: P4/mmm, No. 123
E above lowest polymorph: 0 meV per atom



# 4
MgGaN2F | GGA-PBE | relaxed

Structure (POSCAR):
```
MgGaN2F
1.0
3.8208 0.0000 0.0000
0.0000 3.8208 0.0000
0.0000 0.0000 4.0486
Mg Ga N F
1 1 2 1
direct
0.0000 0.0000 0.0000
0.5000 0.5000 0.5000
0.0000 0.5000 0.5000
0.5000 0.0000 0.5000
0.5000 0.5000 0.0000
```

Results
Spin magnetization: 0.16 μB/cell
Electronic total energy: -23.706 eV/cell
Space-group type: P4/mmm, No. 123
E above lowest polymorph: 0 meV per atom